Entry 1:
VASP calculation (PBE) on a relaxed MgAgP crystal. Values from VASP.

```
&SYSTEM
  ibrav = 0, nat = 3, ntyp = 3
/
ATOMIC_SPECIES
Mg 24.30 Mg.upf
Ag 107.87 Ag.upf
P 30.97 P.upf
ATOMIC_POSITIONS crystal
Mg 0.000 0.000 0.000
Ag 0.333 0.667 0.504
P 0.667 0.333 0.495
CELL_PARAMETERS angstrom
4.214 0.000 0.000
-2.107 3.650 0.000
0.000 0.000 3.676
```

Properties
**DOS(E_F)**: 0.70 states/eV per cell
**DFT formation energy**: -0.07 eV per atom

Entry 2:
VASP calculation (PBE) on a relaxed ZnTe2IrI crystal. Values from VASP.

```
&SYSTEM
  ibrav = 0, nat = 5, ntyp = 4
/
ATOMIC_SPECIES
Zn 65.41 Zn.upf
Te 127.60 Te.upf
Ir 192.22 Ir.upf
I 126.90 I.upf
ATOMIC_POSITIONS crystal
Zn 0.000 0.000 0.000
Te 0.000 0.500 0.500
Te 0.500 0.000 0.500
Ir 0.500 0.500 0.500
I 0.500 0.500 0.000
CELL_PARAMETERS angstrom
5.237 0.000 0.000
0.000 5.237 0.000
0.000 0.000 5.665
```

Properties
**Formation energy (no corrections)**: 0.5167 eV/atom
**DOS(E_F)**: 6.25 states/eV per cell
**E above lowest polymorph**: 0.000 eV per atom

Entry 3:
VASP calculation (PBE) on a relaxed NbH2S crystal. Values from VASP.

```
&SYSTEM
  ibrav = 0, nat = 16, ntyp = 3
/
ATOMIC_SPECIES
Nb 92.91 Nb.upf
H 1.01 H.upf
S 32.06 S.upf
ATOMIC_POSITIONS crystal
Nb 0.000 0.250 0.375
Nb 0.000 0.750 0.625
Nb 0.500 0.250 0.125
Nb 0.500 0.750 0.875
H 0.000 0.000 0.500
H 0.000 0.500 0.500
H 0.250 0.250 0.250
H 0.250 0.750 0.750
H 0.500 0.000 0.000
H 0.500 0.500 0.000
H 0.750 0.250 0.250
H 0.750 0.750 0.750
S 0.000 0.250 0.875
S 0.000 0.750 0.125
S 0.500 0.250 0.625
S 0.500 0.750 0.375
CELL_PARAMETERS angstrom
3.560 0.000 0.000
0.000 3.560 0.000
0.000 0.000 13.891
```

Properties
**DOS(E_F)**: 6.98 states/eV per cell
**E above lowest polymorph**: 0.376 eV per atom

Entry 4:
VASP calculation (PBE) on a relaxed Dy2Tm2Th3 crystal. Values from VASP.

```
&SYSTEM
  ibrav = 0, nat = 14, ntyp = 3
/
ATOMIC_SPECIES
Dy 162.50 Dy.upf
Tm 168.93 Tm.upf
Th 232.04 Th.upf
ATOMIC_POSITIONS crystal
Dy 0.069 0.000 0.405
Dy 0.431 0.500 0.595
Dy 0.569 0.500 0.405
Dy 0.931 0.000 0.595
Tm 0.147 0.500 0.833
Tm 0.353 0.000 0.167
Tm 0.647 0.000 0.833
Tm 0.853 0.500 0.167
Th 0.000 0.500 0.000
Th 0.213 0.500 0.293
Th 0.287 0.000 0.707
Th 0.500 0.000 0.000
Th 0.713 0.000 0.293
Th 0.787 0.500 0.707
CELL_PARAMETERS angstrom
17.341 0.000 0.000
0.000 3.457 0.000
-3.860 0.000 7.468
```

Properties
**DOS(E_F)**: 20.49 states/eV per cell
**DFT formation energy**: 0.14 eV per atom

Entry 5:
VASP calculation (PBE) on a relaxed NbPOsRuSeS crystal. Values from VASP.

```
&SYSTEM
  ibrav = 0, nat = 6, ntyp = 6
/
ATOMIC_SPECIES
Nb 92.91 Nb.upf
P 30.97 P.upf
Os 190.23 Os.upf
Ru 101.07 Ru.upf
Se 78.96 Se.upf
S 32.06 S.upf
ATOMIC_POSITIONS crystal
Nb 0.000 0.000 0.000
P 0.427 0.000 0.946
Os 0.545 0.500 0.717
Ru 0.746 0.500 0.204
Se 0.788 0.000 0.547
S 0.193 0.500 0.333
CELL_PARAMETERS angstrom
5.827 0.000 0.000
0.000 3.075 0.000
-2.788 0.000 5.676
```

Properties
**Formation energy (no corrections)**: -0.3122 eV/atom
**DOS(E_F)**: 4.30 states/eV per cell
**E above lowest polymorph**: 0.101 eV per atom

Entry 6:
VASP calculation (PBE) on a relaxed LaTc2Pb crystal. Values from VASP.

```
&SYSTEM
  ibrav = 0, nat = 8, ntyp = 3
/
ATOMIC_SPECIES
La 138.91 La.upf
Tc 98.00 Tc.upf
Pb 207.20 Pb.upf
ATOMIC_POSITIONS crystal
La 0.000 0.000 0.000
La 0.500 0.500 0.500
Tc 0.000 0.000 0.526
Tc 0.000 0.500 0.219
Tc 0.500 0.000 0.719
Tc 0.500 0.500 0.026
Pb 0.000 0.500 0.784
Pb 0.500 0.000 0.284
CELL_PARAMETERS angstrom
3.275 0.000 0.000
0.000 4.839 0.000
0.000 0.000 10.761
```

Properties
**DOS(E_F)**: 8.04 states/eV per cell
**DFT formation energy**: 0.35 eV per atom

Entry 7:
VASP calculation (PBE) on a relaxed LaAgPCl2 crystal. Values from VASP.

```
&SYSTEM
  ibrav = 0, nat = 5, ntyp = 4
/
ATOMIC_SPECIES
La 138.91 La.upf
Ag 107.87 Ag.upf
P 30.97 P.upf
Cl 35.45 Cl.upf
ATOMIC_POSITIONS crystal
La 0.000 0.000 0.000
Ag 0.500 0.500 0.500
P 0.500 0.500 0.000
Cl 0.000 0.500 0.500
Cl 0.500 0.000 0.500
CELL_PARAMETERS angstrom
4.883 0.000 0.000
0.000 4.883 0.000
0.000 0.000 5.166
```

Properties
**Formation energy (no corrections)**: -0.6317 eV/atom
**DOS(E_F)**: 3.25 states/eV per cell
**E above lowest polymorph**: 0.005 eV per atom

Entry 8:
VASP calculation (PBE) on a relaxed Cd2TcBr crystal. Values from VASP.

```
&SYSTEM
  ibrav = 0, nat = 4, ntyp = 3
/
ATOMIC_SPECIES
Cd 112.41 Cd.upf
Tc 98.00 Tc.upf
Br 79.90 Br.upf
ATOMIC_POSITIONS crystal
Cd 0.000 0.000 0.000
Cd 0.500 0.500 0.000
Tc 0.000 0.500 0.500
Br 0.500 0.000 0.500
CELL_PARAMETERS angstrom
3.127 0.000 0.000
0.000 4.769 0.000
0.000 0.000 5.579
```

Properties
**Formation energy (no corrections)**: 0.6211 eV/atom
**DOS(E_F)**: 2.72 states/eV per cell
**E above lowest polymorph**: 0.378 eV per atom

Entry 9:
VASP calculation (PBE) on a relaxed MgScMn crystal. Values from VASP.

```
&SYSTEM
  ibrav = 0, nat = 12, ntyp = 3
/
ATOMIC_SPECIES
Mg 24.30 Mg.upf
Sc 44.96 Sc.upf
Mn 54.94 Mn.upf
ATOMIC_POSITIONS crystal
Mg 0.000 0.000 0.000
Mg 0.000 0.500 0.500
Mg 0.500 0.000 0.500
Mg 0.500 0.500 0.000
Sc 0.250 0.250 0.750
Sc 0.250 0.750 0.250
Sc 0.750 0.250 0.250
Sc 0.750 0.750 0.750
Mn 0.000 0.000 0.500
Mn 0.000 0.500 0.000
Mn 0.500 0.000 0.000
Mn 0.500 0.500 0.500
CELL_PARAMETERS angstrom
6.650 0.000 0.000
0.000 6.650 0.000
0.000 0.000 6.650
```

Properties
**DOS(E_F)**: 14.24 states/eV per cell
**DFT formation energy**: 0.85 eV per atom
**E above lowest polymorph**: 0.777 eV per atom

Record order is preserved below.
Magnetization: 0.000 0.000 0.000 0.000 0.000 0.239 0.000 0.546 1.049 μB per atom
Record order is preserved below.
E: -3.359 -3.077 -5.271 -5.634 -7.578 -6.989 -4.008 -2.846 -4.849 eV per atom